1.
Here is crystalline Li2CuSi2 at its relaxed geometry from Alexandria. Energies are from GGA-PBE.

Computed properties:
The calculation puts the distance to the lowest polymorph of the same formula at 0 meV per atom. The total magnetization is 0.0 μB/f.u. Its uncorrected formation energy is -0.175 eV/atom.

Structure (POSCAR):
```
Li2CuSi2
1.0
-0.842 4.289 -4.156
-5.893 -1.277 -0.124
-0.663 2.768 2.990
Cu Li Si
2 4 4
direct
0.000 0.000 0.000
0.500 0.500 0.000
0.164 0.664 0.500
0.836 0.336 0.500
0.664 0.836 0.500
0.336 0.164 0.500
0.363 0.863 0.000
0.137 0.363 0.000
0.863 0.637 0.000
0.637 0.137 0.000
```


2.
Here is crystalline K3Er2PaS6 at its relaxed geometry from Alexandria. Energies are from GGA-PBE.

Computed properties:
The total magnetization is 1.7 μB/f.u. Its uncorrected formation energy is -1.723 eV/atom.

Structure (POSCAR):
```
K3Er2PaS6
1.0
6.965 -0.001 0.001
-3.481 6.032 0.001
-1.161 -2.011 7.393
K Pa S Er
3 1 6 2
direct
0.500 0.500 0.500
0.832 0.168 0.500
0.168 0.832 0.500
0.000 0.000 0.000
0.266 0.266 0.797
0.598 0.932 0.797
0.932 0.598 0.797
0.068 0.402 0.203
0.402 0.068 0.203
0.734 0.734 0.203
0.333 0.667 0.000
0.667 0.333 0.000
```


3.
Here is crystalline Mn2AuBr at its relaxed geometry from Alexandria. Energies are from GGA-PBE.

Computed properties:
The calculation puts the distance to the lowest polymorph of the same formula at 68 meV per atom. The total magnetization is 8.5 μB/f.u. Its uncorrected formation energy is 0.133 eV/atom.

Structure (POSCAR):
```
Mn2AuBr
1.0
-4.773 -5.639 -1.964
-1.958 -7.364 -0.618
-4.438 -6.025 1.564
Mn Au Br
2 1 1
direct
0.993 0.993 0.993
0.507 0.507 0.507
0.250 0.250 0.250
0.750 0.750 0.750
```


4.
Here is crystalline Pr8Tm5Mg at its relaxed geometry from Alexandria. Energies are from GGA-PBE.

Computed properties:
The calculation puts the energy of formation at 222.0 meV/atom. The total magnetization is 0.0 μB/f.u.

Structure (POSCAR):
```
Pr8Tm5Mg
1.0
-0.178 5.819 -6.350
-0.636 -7.665 -3.881
-6.377 0.186 5.789
Tm Mg Pr
5 1 8
direct
0.500 0.000 0.500
0.948 0.219 0.976
0.024 0.972 0.243
0.757 0.781 0.729
0.271 0.028 0.052
0.250 0.500 0.750
0.570 0.328 0.906
0.359 0.398 0.429
0.571 0.930 0.969
0.094 0.664 0.422
0.039 0.070 0.641
0.578 0.672 0.241
0.031 0.602 0.961
0.759 0.336 0.430
```


5.
Here is crystalline La3Pm8In4 at its relaxed geometry from Alexandria. Energies are from GGA-PBE.

Computed properties:
The calculation puts the energy of formation at 22.4 meV/atom. The total magnetization is 0.0 μB/f.u.

Structure (POSCAR):
```
La3Pm8In4
1.0
11.519 -0.174 -0.249
-5.702 7.272 -0.723
-5.702 -3.203 6.569
Pm In La
8 4 3
direct
0.000 0.259 0.741
0.500 0.760 0.240
0.992 0.248 0.248
0.498 0.233 0.233
0.000 0.741 0.259
0.500 0.240 0.760
0.502 0.767 0.767
0.008 0.752 0.752
0.000 0.500 0.000
0.500 0.000 0.000
0.000 0.000 0.000
0.000 0.000 0.500
0.500 0.500 0.500
0.500 0.000 0.500
0.500 0.500 0.000
```


6.
Here is crystalline PdPbSCl2 at its relaxed geometry from Alexandria. Energies are from GGA-PBE.

Computed properties:
The calculation puts the distance to the lowest polymorph of the same formula at 636 meV per atom. The total magnetization is 1.1 μB/f.u. Its uncorrected formation energy is 0.254 eV/atom.

Structure (POSCAR):
```
PdPbSCl2
1.0
5.316 0.000 0.000
0.000 5.316 0.000
0.000 0.000 5.245
S Pd Pb Cl
1 1 1 2
direct
0.000 0.000 0.500
0.500 0.500 0.500
0.000 0.000 0.000
0.000 0.500 0.000
0.500 0.000 0.000
```


7.
Here is crystalline LiTeAu3 at its relaxed geometry from Alexandria. Energies are from GGA-PBE.

Computed properties:
The calculation puts the distance to the lowest polymorph of the same formula at 0 meV per atom. The total magnetization is 0.0 μB/f.u. Its uncorrected formation energy is 0.260 eV/atom.

Structure (POSCAR):
```
LiTeAu3
1.0
-0.115 3.911 -3.714
-3.578 -2.835 -2.875
-4.037 2.402 2.654
Au Li Te
3 1 1
direct
0.000 0.000 0.500
0.000 0.500 0.000
0.500 0.000 0.000
0.500 0.500 0.500
0.000 0.000 0.000
```


8.
Here is crystalline UCdGeAu at its relaxed geometry from Alexandria. Energies are from GGA-PBE.

Computed properties:
The calculation puts the energy of formation at -118.2 meV/atom. The total magnetization is 2.9 μB/f.u.

Structure (POSCAR):
```
UCdGeAu
1.0
-4.871 -0.259 0.786
-1.893 -3.786 2.548
-1.812 0.736 4.537
Ge U Cd Au
1 1 1 1
direct
0.000 0.000 0.000
0.250 0.250 0.250
0.750 0.750 0.750
0.500 0.500 0.500
```


9.
Here is crystalline TbCe3Pt4 at its relaxed geometry from Alexandria. Energies are from GGA-PBE.

Computed properties:
The calculation puts the energy of formation at -1080.0 meV/atom. The total magnetization is 1.3 μB/f.u.

Structure (POSCAR):
```
TbCe3Pt4
1.0
-0.977 1.764 6.842
-5.087 -4.585 -2.026
4.771 -6.313 2.309
Ce Pt Tb
6 8 2
direct
0.750 0.000 0.374
0.750 0.500 0.627
0.250 0.000 0.626
0.250 0.500 0.373
0.250 0.500 0.875
0.750 0.500 0.125
0.001 0.251 0.624
0.499 0.749 0.624
0.000 0.749 0.875
0.501 0.251 0.376
0.500 0.251 0.875
0.000 0.251 0.125
0.500 0.749 0.125
0.999 0.749 0.376
0.750 0.000 0.874
0.250 0.000 0.126
```


10.
Here is crystalline LaNi2As at its relaxed geometry from Alexandria. Energies are from GGA-PBE.

Computed properties:
The calculation puts the energy of formation at -541.3 meV/atom. The total magnetization is 0.0 μB/f.u.

Structure (POSCAR):
```
LaNi2As
1.0
-3.896 2.000 -1.504
-1.034 -3.820 -2.403
-6.309 -3.755 4.223
La Ni As
2 4 2
direct
0.750 0.250 0.500
0.000 0.000 0.000
0.401 0.125 0.250
0.375 0.599 0.750
0.349 0.625 0.250
0.875 0.651 0.750
0.500 0.500 0.000
0.250 0.750 0.500
```


11.
Here is crystalline Nd2TlAu4 at its relaxed geometry from Alexandria. Energies are from GGA-PBE.

Computed properties:
The calculation puts the energy of formation at -500.0 meV/atom. The total magnetization is 0.0 μB/f.u.

Structure (POSCAR):
```
Nd2TlAu4
1.0
4.920 0.000 1.537
2.220 4.391 1.537
0.079 0.049 8.390
Au Nd Tl
4 2 1
direct
0.874 0.874 0.378
0.387 0.387 0.839
0.126 0.126 0.622
0.613 0.613 0.161
0.746 0.746 0.761
0.254 0.254 0.239
0.000 0.000 0.000
```